(1)
Entry from Alexandria via LeMat-Bulk: a crystal of Ta2HgTe relaxed with PBEsol (meta-GGA SCAN).

Unit cell a=4.739 b=4.739 c=4.739 alpha=60.00 beta=60.00 gamma=60.00
Positions (direct):
1 Ta 0.750 0.750 0.750
2 Ta 0.250 0.250 0.250
3 Hg 0.000 0.000 0.000
4 Te 0.500 0.500 0.500

Summary:
Its energy relative to the elements, uncorrected is 0.48 eV per atom.



(2)
Entry from Alexandria via LeMat-Bulk: a crystal of TcWAu2 relaxed with PBEsol (meta-GGA SCAN).

Unit cell a=3.983 b=3.983 c=4.824 alpha=114.38 beta=114.38 gamma=90.00
Positions (direct):
1 W 0.250 0.750 0.500
2 Au 0.000 0.000 0.000
3 Au 0.750 0.250 0.500
4 Tc 0.500 0.500 0.000

Summary:
As for the final energy: -4.4457 Ry per atom.



(3)
Entry from Alexandria via LeMat-Bulk: a crystal of TaBe2Sb relaxed with PBEsol (meta-GGA SCAN).

Unit cell a=5.389 b=5.496 c=5.496 alpha=76.09 beta=60.64 gamma=60.64
Positions (direct):
1 Be 0.375 0.007 0.493
2 Ta 0.750 0.500 0.500
3 Be 0.618 0.507 0.007
4 Sb 0.500 0.000 0.000
5 Be 0.132 0.493 0.993
6 Ta 0.000 0.000 0.000
7 Be 0.875 0.993 0.507
8 Sb 0.250 0.500 0.500

Summary:
Its energy relative to the elements, uncorrected is 0.69 eV per atom.



(4)
Entry from Alexandria via LeMat-Bulk: a crystal of MgP2SCl relaxed with PBEsol (meta-GGA SCAN).

Unit cell a=4.599 b=4.599 c=4.558 alpha=90.00 beta=90.00 gamma=90.00
Positions (direct):
1 Mg 0.500 0.500 0.500
2 P 0.500 0.000 0.000
3 Cl 0.000 0.000 0.000
4 P 0.000 0.500 0.000
5 S 0.000 0.000 0.500

Summary:
Its energy relative to the elements, uncorrected is 0.99 eV per atom.